The following is a DFT calculation (GGA-PBE) of a relaxed Mg2SiP4W crystal.

Cell: 5.7236 5.7236 10.8196 Å, 90.00 90.00 90.00°
Space group I-4 (No. 82)
Inequivalent atoms, fractional coordinates:
Mg  0.0000  0.0000  0.0000 (multiplicity 2)
Mg  0.0000  0.5000  0.2500 (multiplicity 2)
Si  0.0000  0.5000  0.7500 (multiplicity 2)
P  0.2103  0.7454  0.6259 (multiplicity 8)
W  0.0000  0.0000  0.5000 (multiplicity 2)

Values from the calculation:
* volume: 22.15 Å³ per atom
* final energy: -89.0 eV/cell